Entry from the Alexandria database: a relaxed structure of LiCrTe2 (PBE).

Output
space group: P4mm (99)
formation energy without anion corrections: -0.327 eV per atom
crystal system: tetragonal

Cell and atoms, written as POSCAR:
```
LiCrTe2
1.0
4.0156 0.0000 0.0000
0.0000 4.0156 0.0000
0.0000 0.0000 5.6397
Li Cr Te
1 1 2
Direct
0.0000 0.0000 0.0000
0.5000 0.5000 0.5326
0.0000 0.0000 0.5016
0.5000 0.5000 0.0218
```

Entry from the Alexandria database: a relaxed structure of LiCr2Te (PBE).

Output
space group: I-42d (122)
formation energy without anion corrections: 0.525 eV per atom
crystal system: tetragonal

Cell and atoms, written as POSCAR:
```
LiCr2Te
1.0
3.6342 0.0000 0.0000
0.0000 3.6342 0.0000
0.0000 0.0000 18.6256
Li Cr Te
4 8 4
Direct
0.0000 0.0000 0.0000
0.0000 0.5000 0.2500
0.5000 0.0000 0.7500
0.5000 0.5000 0.5000
0.1964 0.2500 0.1250
0.2500 0.6964 0.3750
0.2500 0.8036 0.8750
0.3036 0.2500 0.6250
0.6964 0.7500 0.6250
0.7500 0.1964 0.8750
0.7500 0.3036 0.3750
0.8036 0.7500 0.1250
0.0000 0.0000 0.5000
0.0000 0.5000 0.7500
0.5000 0.0000 0.2500
0.5000 0.5000 0.0000
```

Entry from the Alexandria database: a relaxed structure of LiCr2Te (PBE).

Output
space group: R-3m (166)
formation energy without anion corrections: 0.917 eV per atom
crystal system: trigonal

Cell and atoms, written as POSCAR:
```
LiCr2Te
1.0
2.9956 0.0000 0.0000
-1.4978 2.5943 0.0000
0.0000 0.0000 25.1308
Li Cr Te
3 6 3
Direct
0.0000 0.0000 0.0000
0.3333 0.6667 0.6667
0.6667 0.3333 0.3333
0.0000 0.0000 0.2456
0.0000 0.0000 0.7544
0.3333 0.6667 0.4211
0.3333 0.6667 0.9123
0.6667 0.3333 0.0877
0.6667 0.3333 0.5789
0.0000 0.0000 0.5000
0.3333 0.6667 0.1667
0.6667 0.3333 0.8333
```

Entry from the Alexandria database: a relaxed structure of LiCr2Te (PBE).

Output
space group: I-4m2 (119)
formation energy without anion corrections: 0.121 eV per atom
crystal system: tetragonal

Cell and atoms, written as POSCAR:
```
LiCr2Te
1.0
4.4870 0.0000 0.0000
0.0000 4.4870 0.0000
0.0000 0.0000 6.3358
Li Cr Te
2 4 2
Direct
0.0000 0.0000 0.0000
0.5000 0.5000 0.5000
0.0000 0.0000 0.5000
0.0000 0.5000 0.7500
0.5000 0.0000 0.2500
0.5000 0.5000 0.0000
0.0000 0.5000 0.2500
0.5000 0.0000 0.7500
```

Entry from the Alexandria database: a relaxed structure of LiCrTe2 (PBE).

Output
space group: R-3m (166)
formation energy without anion corrections: -0.485 eV per atom
crystal system: trigonal

Cell and atoms, written as POSCAR:
```
LiCrTe2
1.0
4.0242 0.0000 0.0000
-2.0121 3.4851 0.0000
0.0000 0.0000 20.2878
Li Cr Te
3 3 6
Direct
0.0000 0.0000 0.0000
0.3333 0.6667 0.6667
0.6667 0.3333 0.3333
0.0000 0.0000 0.5000
0.3333 0.6667 0.1667
0.6667 0.3333 0.8333
0.0000 0.0000 0.2406
0.0000 0.0000 0.7594
0.3333 0.6667 0.4261
0.3333 0.6667 0.9073
0.6667 0.3333 0.0927
0.6667 0.3333 0.5739
```

Entry from the Alexandria database: a relaxed structure of LiCr2Te (PBE).

Output
space group: P2/m (10)
formation energy without anion corrections: 0.442 eV per atom
crystal system: monoclinic

Cell and atoms, written as POSCAR:
```
LiCr2Te
1.0
2.9774 0.0000 0.0000
0.0000 4.7452 0.0000
-0.5624 0.0000 4.7810
Li Cr Te
1 2 1
Direct
0.0000 0.0000 0.0000
0.3188 0.5000 0.1598
0.6812 0.5000 0.8402
0.5000 0.0000 0.5000
```